No. 1
PBE Nb2TeSeO, optimized geometry; raw formation energy = 0.67 eV/atom; SG = P4/mmm (123); uncorrected energy = -28.384 eV/cell; mass density = 6.01 g/cm3
1.0
5.3073 0.0000 0.0000
0.0000 4.0028 0.0000
0.0000 0.0000 5.3073
Te Nb O Se
1 2 1 1
direct
0.0000 0.0000 0.0000
0.5000 0.0000 0.0000
0.0000 0.0000 0.5000
0.0000 0.5000 0.0000
0.5000 0.5000 0.5000



No. 2
PBE Ti4C2N, optimized geometry; raw formation energy = -0.91 eV/atom; SG = Cmcm (63); uncorrected energy = -129.472 eV/cell; mass density = 4.92 g/cm3
1.0
-2.4615 1.6825 0.5252
-0.8148 -2.5004 -4.5342
-4.2405 -7.7811 5.0529
Ti N C
8 2 4
direct
0.0397 0.0793 0.2500
0.9603 0.9207 0.7500
0.5000 0.0000 0.0000
0.7719 0.5438 0.1179
0.2281 0.4562 0.8821
0.7719 0.5438 0.3821
0.2281 0.4562 0.6179
0.5000 0.0000 0.5000
0.3994 0.7988 0.2500
0.6006 0.2012 0.7500
0.1374 0.2749 0.4329
0.8626 0.7251 0.5671
0.1374 0.2749 0.0671
0.8626 0.7251 0.9329



No. 3
PBE NaLa2TcO8, optimized geometry; raw formation energy = -2.08 eV/atom; SG = P-1 (2); uncorrected energy = -86.137 eV/cell; mass density = 5.34 g/cm3
1.0
-2.1819 3.6904 3.1027
-3.7567 -0.3010 -2.2577
-3.7509 -5.2175 3.4177
O La Na Tc
8 2 1 1
direct
0.0156 0.6824 0.2324
0.4683 0.1647 0.4992
0.5317 0.8353 0.5008
0.7759 0.2197 0.1156
0.7043 0.8163 0.9104
0.2241 0.7803 0.8844
0.9844 0.3176 0.7676
0.2957 0.1837 0.0896
0.4940 0.6222 0.2148
0.5060 0.3778 0.7852
0.0000 0.0000 0.5000
0.0000 0.0000 0.0000



No. 4
PBE ZrTl2Tc, optimized geometry; SG = R3m (160); uncorrected energy = -22.712 eV/cell; mass density = 10.60 g/cm3; energy relative to the elements = 0.935 eV/f.u.
1.0
9.9767 -0.0009 -0.0005
9.4233 3.2765 -0.0005
9.4233 1.5911 2.8643
Tl Zr Tc
2 1 1
direct
0.2450 0.2450 0.2450
0.0112 0.0112 0.0112
0.4861 0.4861 0.4861
0.7577 0.7577 0.7577



No. 5
PBE Na2HoCdPb2, optimized geometry; SG = Pmc2_1 (26); uncorrected energy = -33.911 eV/cell; mass density = 7.21 g/cm3; energy relative to the elements = -1.408 eV/f.u.
1.0
-0.8523 -1.5135 -4.5587
-3.7637 -5.8300 2.6393
-7.9182 5.0265 -0.1883
Pb Cd Na Ho
4 2 4 2
direct
0.0000 0.2828 0.8303
0.0000 0.7828 0.1697
0.5000 0.2491 0.3785
0.5000 0.7491 0.6215
0.5000 0.6511 0.3109
0.5000 0.1511 0.6891
0.5000 0.5418 0.9470
0.0000 0.8331 0.8316
0.0000 0.3331 0.1684
0.5000 0.0418 0.0530
0.0000 0.9876 0.4710
0.0000 0.4876 0.5290



No. 6
PBE LiTmAl, optimized geometry; SG = I4mm (107); uncorrected energy = -10.427 eV/cell; mass density = 5.35 g/cm3; energy relative to the elements = -0.299 eV/f.u.
1.0
3.3890 0.0000 0.0000
0.0000 3.3890 0.0000
-1.6945 -1.6945 5.4871
Al Li Tm
1 1 1
direct
0.2641 0.2641 0.5281
0.6429 0.6429 0.2858
0.9431 0.9431 0.8861



No. 7
PBE CrIn2Ir, optimized geometry; SG = F-43m (216); uncorrected energy = -22.795 eV/cell; mass density = 10.98 g/cm3; energy relative to the elements = 1.166 eV/f.u.
1.0
-0.6052 -4.6154 0.2533
3.6622 -2.7955 0.7113
0.4983 -2.1957 4.0821
In Cr Ir
2 1 1
direct
0.0000 0.0000 0.0000
0.7500 0.7500 0.7500
0.5000 0.5000 0.5000
0.2500 0.2500 0.2500



No. 8
PBE RbSr2InI8, optimized geometry; raw formation energy = -1.19 eV/atom; SG = P-1 (2); uncorrected energy = -33.804 eV/cell; mass density = 4.01 g/cm3
1.0
-3.0504 1.3853 -6.9357
-6.1272 -3.6656 1.8896
-4.0627 8.5759 3.4930
I Sr In Rb
8 2 1 1
direct
0.3335 0.2390 0.0003
0.6130 0.7402 0.4999
0.1451 0.7654 0.7933
0.6665 0.7610 0.9997
0.8549 0.2346 0.2067
0.3870 0.2598 0.5001
0.8558 0.2354 0.7932
0.1442 0.7646 0.2068
0.5000 0.5003 0.2410
0.5000 0.4997 0.7590
0.0000 0.0000 0.0000
0.0000 0.0000 0.5000



> The highest mass density belongs to which entry?

CrIn2Ir



> The highest uncorrected energy belongs to which entry?

LiTmAl



> The lowest uncorrected energy belongs to which entry?

Ti4C2N